Record 1
PrMg5Ag2: relaxed, PBE.

a = 4.3643 Å, b = 8.2542 Å, c = 10.4790 Å
α = 90.00°, β = 90.00°, γ = 90.00°
Space group Immm (No. 71)
One atom of each set of equivalent atoms:
Pr  0.0000  0.0000  0.0000 [2 per cell]
Mg  0.0000  0.1882  0.3476 [8 per cell]
Mg  0.0000  0.5000  0.0000 [2 per cell]
Ag  0.0000  0.5000  0.2619 [4 per cell]

Record 2
ZrOs2Rh: relaxed, PBE.

## Properties
Energy above the lowest structure with this stoichiometry = 313.1 meV/atom

a = 2.8105 Å, b = 2.8105 Å, c = 8.0780 Å
α = 90.00°, β = 90.00°, γ = 90.00°
Space group P4/mmm (No. 123)
One atom of each set of equivalent atoms:
Zr  0.0000  0.0000  0.0000 [1 per cell]
Os  0.5000  0.5000  0.2720 [2 per cell]
Rh  0.0000  0.0000  0.5000 [1 per cell]

| no. | energy relative to the elements (eV per atom) | volume (Å³/atom) |
| --- | --- | --- |
| 1 | -0.167 | 23.6 |
| 2 | 0.101 | 16.0 |